Material: Sr2TaAl
Method: DFT, PBE-GGA
State: relaxed

a = 3.7014 Å, b = 3.7011 Å, c = 9.1791 Å
α = 90.00°, β = 90.00°, γ = 90.00°
Fractional coordinates of all 4 atoms:
Sr 0.0000 0.0000 0.9325
Sr 0.5000 0.5000 0.3227
Al 0.5000 0.5000 0.6638
Ta 0.0000 0.0000 0.5811

Values from the calculation:
The calculation puts the calculated density at 5.1 g cm⁻³. For the formation energy, the calculation gives 365 meV/atom. The final energy is -4.37 eV/atom.